(1)
First-principles (PBE-GGA) data for a geometry-optimized CaHgN2F structure, as listed in the Alexandria database.

Properties
- E_tot (eV/atom) = -3.821
- size of the total moment (μB/f.u.) = 1.7
- polymorph energy (0 for the lowest one) (meV per atom) = 0
- E_form (uncorrected) (kJ/mol of formula units) = 166

Unit cell a=4.156 b=4.776 c=4.156 alpha=90.00 beta=90.00 gamma=90.00
Site moments in Bohr magnetons follow the coordinates.
Atoms (fractional coordinates):
Ca 0.500 0.500 0.500  -0.01
N 0.500 0.000 0.000  0.75
N 0.000 0.000 0.500  0.41
Hg 0.000 0.000 0.000  0.07
F 0.000 0.500 0.000  0.01

(2)
First-principles (PBE-GGA) data for a geometry-optimized CaHgNF2 structure, as listed in the Alexandria database.

Properties
- E_tot (eV/atom) = -3.707
- size of the total moment (μB/f.u.) = 0.9
- polymorph energy (0 for the lowest one) (meV per atom) = 279
- E_form (uncorrected) (kJ/mol of formula units) = -402

Unit cell a=4.713 b=4.713 c=4.072 alpha=90.00 beta=90.00 gamma=90.00
Site moments in Bohr magnetons follow the coordinates.
Atoms (fractional coordinates):
Hg 0.000 0.000 0.000  0.09
F 0.000 0.500 0.000  0.01
Ca 0.500 0.500 0.500  0.00
F 0.500 0.000 0.000  0.01
N 0.000 0.000 0.500  0.52

Question: E_tot of number 2 (CaHgNF2)?
Answer: -3.707 eV/atom

Question: The lowest E_tot belongs to which entry?
Answer: CaHgN2F

What did the second record say?
First-principles (PBE-GGA) data for a geometry-optimized CaHgNF2 structure, as listed in the Alexandria database.

Properties
- E_tot (eV/atom) = -3.707
- size of the total moment (μB/f.u.) = 0.9
- polymorph energy (0 for the lowest one) (meV per atom) = 279
- E_form (uncorrected) (kJ/mol of formula units) = -402

Unit cell a=4.713 b=4.713 c=4.072 alpha=90.00 beta=90.00 gamma=90.00
Site moments in Bohr magnetons follow the coordinates.
Atoms (fractional coordinates):
Hg 0.000 0.000 0.000  0.09
F 0.000 0.500 0.000  0.01
Ca 0.500 0.500 0.500  0.00
F 0.500 0.000 0.000  0.01
N 0.000 0.000 0.500  0.52